Record 1
Here is a geometry-optimized MgFeGe structure from Alexandria via LeMat-Bulk. Energies are from GGA-PBE.

Calculated values
* N(E_F): 1.8 states/eV/f.u.
* space-group type: Cc
* energy relative to the elements: -9.81 kJ/mol of atoms
* calculated total energy: -4.993 eV/atom

Structure (POSCAR):
```
MgFeGe
1.0
7.294 0.000 0.000
0.000 6.774 0.000
-3.533 0.000 3.657
Mg Fe Ge
4 4 4
Direct
0.000 0.138 0.000
0.000 0.862 0.500
0.500 0.362 0.500
0.500 0.638 0.000
0.001 0.500 0.251
0.001 0.500 0.751
0.501 0.000 0.251
0.501 0.000 0.751
0.250 0.250 0.750
0.250 0.750 0.250
0.750 0.250 0.250
0.750 0.750 0.750
```

Record 2
Here is a geometry-optimized MgFe2Ge2 structure from Alexandria via LeMat-Bulk. Energies are from GGA-PBE.

Calculated values
* N(E_F): 3.4 states/eV/f.u.
* space-group type: P4/mbm
* energy relative to the elements: -2.84 kJ/mol of atoms
* calculated total energy: -5.580 eV/atom

Structure (POSCAR):
```
MgFe2Ge2
1.0
6.966 0.000 0.000
0.000 6.966 0.000
0.000 0.000 2.795
Mg Fe Ge
2 4 4
Direct
0.000 0.000 0.000
0.500 0.500 0.000
0.150 0.350 0.500
0.350 0.850 0.500
0.650 0.150 0.500
0.850 0.650 0.500
0.144 0.644 0.000
0.356 0.144 0.000
0.644 0.856 0.000
0.856 0.356 0.000
```